(1)
VASP calculation (PBE) on crystalline SiBAs2 at its relaxed geometry.

Calculated values
For the raw formation energy, the calculation gives 249 meV/atom. The total magnetic moment is 0.00 μB/cell. The offset from the most stable computed form is 0.000 eV per atom.

a b c (Å): 5.5281 5.5281 6.0300
angles (deg): 62.72 62.72 90.00
Last column: nearest neighbours and their distance in Å.
Atoms (fractional coordinates):
1 As 0.5715 0.1250 0.2500  2 B 2.10
2 As 0.1785 0.6250 0.2500  2 B 2.10
3 As 0.3750 0.4285 0.7500  2 B 2.10
4 As 0.8750 0.8215 0.7500  2 B 2.10
5 B 0.5000 0.5000 0.0000  4 As 2.10
6 B 0.2500 0.7500 0.5000  4 As 2.10
7 Si 0.0000 0.0000 0.0000  4 As 2.46
8 Si 0.7500 0.2500 0.5000  4 As 2.46

---

(2)
VASP calculation (PBE) on crystalline Cs3PuTh3S8 at its relaxed geometry.

Calculated values
For the raw formation energy, the calculation gives -1716 meV/atom. The total magnetic moment is 6.41 μB/cell.

a b c (Å): 8.3484 8.3477 9.5264
angles (deg): 115.99 90.00 120.00
Last column: nearest neighbours and their distance in Å.
Atoms (fractional coordinates):
1 Cs 0.0000 0.0000 0.0000  6 S 3.51-3.58
2 Cs 0.0000 0.5000 0.0000  6 S 3.51-3.58
3 Cs 0.5000 0.5000 0.0000  6 S 3.51-3.58
4 Pu 0.0000 0.0000 0.5000  6 S 2.85
5 Th 0.5000 0.0000 0.5000  6 S 2.82-2.87
6 Th 0.5000 0.5000 0.5000  6 S 2.81-2.87
7 Th 0.0000 0.5000 0.5000  6 S 2.81-2.87
8 S 0.2704 0.5408 0.3113  3 Th 2.87
9 S 0.7296 0.4592 0.6887  3 Th 2.87
10 S 0.7714 0.5428 0.3202  2 Th 2.81, 1 Pu 2.85
11 S 0.2286 0.4572 0.6798  2 Th 2.81, 1 Pu 2.85
12 S 0.7715 0.0486 0.3201  2 Th 2.82, 1 Pu 2.85
13 S 0.2285 0.9514 0.6799  2 Th 2.82, 1 Pu 2.85
14 S 0.2771 0.0486 0.3201  2 Th 2.82, 1 Pu 2.85
15 S 0.7229 0.9514 0.6799  2 Th 2.82, 1 Pu 2.85

---

(3)
VASP calculation (PBE) on crystalline Nd8GeSe6 at its relaxed geometry.

Calculated values
For the raw formation energy, the calculation gives -1359 meV/atom. The total magnetic moment is 0.00 μB/cell.

a b c (Å): 4.2588 10.7467 10.7467
angles (deg): 120.00 90.00 90.00
Last column: nearest neighbours and their distance in Å.
Atoms (fractional coordinates):
1 Nd 0.7441 0.9675 0.2815  4 Se 2.89-3.20
2 Nd 0.7441 0.7185 0.6860  4 Se 2.89-3.20
3 Nd 0.7441 0.3140 0.0325  4 Se 2.89-3.20
4 Nd 0.2559 0.0325 0.7185  4 Se 2.89-3.20
5 Nd 0.2559 0.2815 0.3140  4 Se 2.89-3.20
6 Nd 0.2559 0.6860 0.9675  4 Se 2.89-3.20
7 Nd 0.7481 0.3333 0.6667  6 Se 2.99
8 Nd 0.2519 0.6667 0.3333  6 Se 2.99
9 Ge 0.5000 0.0000 0.0000  6 Nd 3.38
10 Se 0.7507 0.6479 0.1294  6 Nd 2.89-3.20
11 Se 0.7507 0.8706 0.5185  6 Nd 2.89-3.20
12 Se 0.7507 0.4815 0.3521  6 Nd 2.89-3.20
13 Se 0.2493 0.3521 0.8706  6 Nd 2.89-3.20
14 Se 0.2493 0.1294 0.4815  6 Nd 2.89-3.20
15 Se 0.2493 0.5185 0.6479  6 Nd 2.89-3.20

---

(4)
VASP calculation (PBE) on crystalline Mg4Si7 at its relaxed geometry.

Calculated values
For the raw formation energy, the calculation gives 110 meV/atom. The total magnetic moment is 0.00 μB/cell. The offset from the most stable computed form is 0.014 eV per atom.

a b c (Å): 4.2374 6.7735 14.8317
angles (deg): 82.06 82.00 85.15
Last column: nearest neighbours and their distance in Å.
Atoms (fractional coordinates):
1 Mg 0.0000 0.0000 0.0000  4 Si 2.75-3.07
2 Mg 0.0000 0.0000 0.5000  4 Si 2.65-2.77
3 Mg 0.5919 0.8771 0.3535  6 Si 2.85-3.15, 1 Mg 3.08
4 Mg 0.4081 0.1229 0.6465  6 Si 2.85-3.15, 1 Mg 3.08
5 Mg 0.6145 0.9772 0.8367  5 Si 2.65-2.89
6 Mg 0.3855 0.0228 0.1633  5 Si 2.65-2.89
7 Mg 0.5188 0.3222 0.4236  6 Si 2.77-2.98, 1 Mg 3.07
8 Mg 0.4812 0.6778 0.5764  6 Si 2.77-2.98, 1 Mg 3.07
9 Si 0.5444 0.2797 0.9386  3 Si 2.40-2.45, 1 Mg 2.68
10 Si 0.4556 0.7203 0.0614  3 Si 2.40-2.45, 1 Mg 2.68
11 Si 0.1793 0.4285 0.0525  4 Si 2.38-2.41
12 Si 0.8207 0.5715 0.9475  4 Si 2.38-2.41
13 Si 0.9298 0.3594 0.5551  2 Si 2.39-2.40, 1 Mg 2.65
14 Si 0.0702 0.6406 0.4449  2 Si 2.39-2.40, 1 Mg 2.65
15 Si 0.5994 0.6124 0.2157  4 Si 2.42-2.53
16 Si 0.4006 0.3876 0.7843  4 Si 2.42-2.53
17 Si 0.9334 0.8340 0.6825  2 Si 2.42-2.46
18 Si 0.0666 0.1660 0.3175  2 Si 2.42-2.46
19 Si 0.8170 0.2754 0.1770  3 Si 2.41-2.50, 1 Mg 2.65
20 Si 0.1830 0.7246 0.8230  3 Si 2.41-2.50, 1 Mg 2.65
21 Si 0.9141 0.4747 0.7014  4 Si 2.40-2.53
22 Si 0.0859 0.5253 0.2986  4 Si 2.40-2.53

---

(5)
VASP calculation (PBE) on crystalline MgTl2ClO at its relaxed geometry.

Calculated values
For the raw formation energy, the calculation gives -769 meV/atom. The total magnetic moment is 0.00 μB/cell.

a b c (Å): 6.0157 3.7051 6.0157
angles (deg): 90.00 90.00 90.00
Last column: nearest neighbours and their distance in Å.
Atoms (fractional coordinates):
1 Tl 0.0000 0.0000 0.5000  2 Mg 3.01
2 Tl 0.5000 0.0000 0.0000  2 Mg 3.01
3 Mg 0.0000 0.0000 0.0000  2 O 1.85
4 O 0.0000 0.5000 0.0000  2 Mg 1.85
5 Cl 0.5000 0.5000 0.5000  8 Tl 3.53, 2 Cl 3.71

---

(6)
VASP calculation (PBE) on crystalline GdYAlFe at its relaxed geometry.

Calculated values
The total magnetic moment is 5.60 μB/cell. The value obtained for the total energy is -8.26 eV per atom.

a b c (Å): 5.0117 5.0117 5.0117
angles (deg): 60.00 60.00 60.00
Last column: nearest neighbours and their distance in Å.
Atoms (fractional coordinates):
1 Y 0.7500 0.7500 0.7500  4 Fe 3.07, 4 Al 3.07
2 Gd 0.2500 0.2500 0.2500  4 Fe 3.07, 4 Al 3.07
3 Fe 0.5000 0.5000 0.5000  4 Gd 3.07, 4 Y 3.07
4 Al 0.0000 0.0000 0.0000  4 Gd 3.07, 4 Y 3.07